1.
Compound: Ag2HgOs
Source: Alexandria via LeMat-Bulk
Functional: PBE-GGA
Structure: relaxed

Cell lengths 10.0808, 10.0808, 10.0808 Å; angles 16.28, 16.28, 16.28 degrees
Fractional coordinates of all 4 atoms:
1 Ag 0.2457 0.2457 0.2457
2 Ag 0.7543 0.7543 0.7543
3 Hg 0.0000 0.0000 0.0000
4 Os 0.5000 0.5000 0.5000

Properties
* ΔE_f: 471 meV/atom
* total magnetization: 0.00 μB/cell

2.
Compound: Hf2Mn2Al5Au
Source: Alexandria via LeMat-Bulk
Functional: PBE-GGA
Structure: relaxed

Cell lengths 8.9686, 8.9686, 4.0613 Å; angles 90.00, 90.00, 90.00 degrees
Fractional coordinates of all 20 atoms:
1 Hf 0.1798 0.3202 0.0000
2 Hf 0.3202 0.8202 0.0000
3 Hf 0.6798 0.1798 0.0000
4 Hf 0.8202 0.6798 0.0000
5 Mn 0.1122 0.6122 0.0000
6 Mn 0.3878 0.1122 0.0000
7 Mn 0.6122 0.8878 0.0000
8 Mn 0.8878 0.3878 0.0000
9 Al 0.0000 0.5000 0.5000
10 Al 0.0663 0.7882 0.5000
11 Al 0.2118 0.0663 0.5000
12 Al 0.2882 0.5663 0.5000
13 Al 0.4337 0.2882 0.5000
14 Al 0.5000 0.0000 0.5000
15 Al 0.5663 0.7118 0.5000
16 Al 0.7118 0.4337 0.5000
17 Al 0.7882 0.9337 0.5000
18 Al 0.9337 0.2118 0.5000
19 Au 0.0000 0.0000 0.0000
20 Au 0.5000 0.5000 0.0000

Properties
* ΔE_f: -252 meV/atom
* total magnetization: 6.77 μB/cell

3.
Compound: ZrMn2Al
Source: Alexandria via LeMat-Bulk
Functional: PBE-GGA
Structure: relaxed

Cell lengths 2.8568, 2.8568, 7.1458 Å; angles 90.00, 90.00, 90.00 degrees
Fractional coordinates of all 4 atoms:
1 Zr 0.0000 0.0000 0.0000
2 Mn 0.0000 0.0000 0.5478
3 Mn 0.5000 0.5000 0.7125
4 Al 0.5000 0.5000 0.3206

Properties
* ΔE_f: -157 meV/atom
* total magnetization: 0.03 μB/cell

4.
Compound: Na3TlIr
Source: Alexandria via LeMat-Bulk
Functional: PBE-GGA
Structure: relaxed

Cell lengths 5.4352, 5.4352, 5.4352 Å; angles 90.00, 90.00, 90.00 degrees
Fractional coordinates of all 5 atoms:
1 Na 0.0000 0.0000 0.5000
2 Na 0.0000 0.5000 0.0000
3 Na 0.5000 0.0000 0.0000
4 Tl 0.5000 0.5000 0.5000
5 Ir 0.0000 0.0000 0.0000

Properties
* ΔE_f: 645 meV/atom
* total magnetization: 0.00 μB/cell

5.
Compound: Na2Sm3PuSe6
Source: Alexandria via LeMat-Bulk
Functional: PBE-GGA
Structure: relaxed

Cell lengths 7.2585, 7.2585, 7.3296 Å; angles 99.52, 99.52, 119.96 degrees
Fractional coordinates of all 12 atoms:
1 Na 0.1657 0.8343 0.0000
2 Na 0.8343 0.1657 0.0000
3 Sm 0.0000 0.0000 0.5000
4 Sm 0.3310 0.6690 0.5000
5 Sm 0.6690 0.3310 0.5000
6 Pu 0.5000 0.5000 0.0000
7 Se 0.0853 0.4155 0.7465
8 Se 0.2556 0.2556 0.2567
9 Se 0.4155 0.0853 0.7465
10 Se 0.5845 0.9147 0.2535
11 Se 0.7444 0.7444 0.7433
12 Se 0.9147 0.5845 0.2535

Properties
* formation energy without anion corrections: -1669.2 meV/atom
* total magnetization: 6.18 μB/cell

6.
Compound: GeIr2C
Source: Alexandria via LeMat-Bulk
Functional: PBE-GGA
Structure: relaxed

Cell lengths 4.1732, 4.1732, 4.1732 Å; angles 60.00, 60.00, 60.00 degrees
Fractional coordinates of all 4 atoms:
1 Ge 0.0000 0.0000 0.0000
2 Ir 0.2500 0.2500 0.2500
3 Ir 0.7500 0.7500 0.7500
4 C 0.5000 0.5000 0.5000

Properties
* ΔE_f: 1070 meV/atom
* total magnetization: 0.00 μB/cell

7.
Compound: HgBSb2I
Source: Alexandria via LeMat-Bulk
Functional: PBE-GGA
Structure: relaxed

Cell lengths 4.9858, 4.9858, 5.1095 Å; angles 90.00, 90.00, 90.00 degrees
Fractional coordinates of all 5 atoms:
1 Hg 0.0000 0.0000 0.0000
2 B 0.5000 0.5000 0.5000
3 Sb 0.0000 0.5000 0.5000
4 Sb 0.5000 0.0000 0.5000
5 I 0.5000 0.5000 0.0000

Properties
* formation energy without anion corrections: 758.9 meV/atom
* total magnetization: 0.00 μB/cell

8.
Compound: MnOsPt2
Source: Alexandria via LeMat-Bulk
Functional: PBE-GGA
Structure: relaxed

Cell lengths 9.0711, 9.0711, 9.0711 Å; angles 17.18, 17.18, 17.18 degrees
Fractional coordinates of all 4 atoms:
1 Mn 0.0000 0.0000 0.0000
2 Os 0.2604 0.2604 0.2604
3 Pt 0.5051 0.5051 0.5051
4 Pt 0.7469 0.7469 0.7469

Properties
* ΔE_f: -32 meV/atom
* total magnetization: 0.00 μB/cell

9.
Compound: Na4La3ZrTe8
Source: Alexandria via LeMat-Bulk
Functional: PBE-GGA
Structure: relaxed

Cell lengths 9.1943, 9.1943, 9.1943 Å; angles 58.93, 58.93, 58.93 degrees
Fractional coordinates of all 16 atoms:
1 Na 0.0000 0.0000 0.0000
2 Na 0.0000 0.5000 0.5000
3 Na 0.5000 0.0000 0.5000
4 Na 0.5000 0.5000 0.0000
5 La 0.0000 0.0000 0.5000
6 La 0.0000 0.5000 0.0000
7 La 0.5000 0.0000 0.0000
8 Zr 0.5000 0.5000 0.5000
9 Te 0.2490 0.2490 0.2490
10 Te 0.2658 0.2658 0.7342
11 Te 0.2658 0.7342 0.2658
12 Te 0.2658 0.7342 0.7342
13 Te 0.7342 0.2658 0.2658
14 Te 0.7342 0.2658 0.7342
15 Te 0.7342 0.7342 0.2658
16 Te 0.7510 0.7510 0.7510

Properties
* formation energy without anion corrections: -1249.5 meV/atom
* total magnetization: 0.89 μB/cell

10.
Compound: AgC3
Source: Alexandria via LeMat-Bulk
Functional: PBE-GGA
Structure: relaxed

Cell lengths 5.3579, 6.5441, 7.1262 Å; angles 90.00, 90.00, 90.00 degrees
Fractional coordinates of all 16 atoms:
1 Ag 0.1107 0.2500 0.0008
2 Ag 0.3893 0.7500 0.5008
3 Ag 0.6107 0.2500 0.4992
4 Ag 0.8893 0.7500 0.9992
5 C 0.0800 0.0717 0.4998
6 C 0.0800 0.4283 0.4998
7 C 0.2146 0.2500 0.4996
8 C 0.2854 0.7500 0.9996
9 C 0.4200 0.5717 0.9998
10 C 0.4200 0.9283 0.9998
11 C 0.5800 0.0717 0.0002
12 C 0.5800 0.4283 0.0002
13 C 0.7146 0.2500 0.0004
14 C 0.7854 0.7500 0.5004
15 C 0.9200 0.5717 0.5002
16 C 0.9200 0.9283 0.5002

Properties
* ΔE_f: 1064 meV/atom
* total magnetization: 0.00 μB/cell

11.
Compound: PmY5Tm7
Source: Alexandria via LeMat-Bulk
Functional: PBE-GGA
Structure: relaxed

Cell lengths 8.6276, 8.6276, 8.6276 Å; angles 134.09, 101.04, 96.47 degrees
Fractional coordinates of all 13 atoms:
1 Pm 0.0000 0.0000 0.0000
2 Y 0.0220 0.0285 0.4565
3 Y 0.0220 0.5655 0.9934
4 Y 0.2995 0.7995 0.5000
5 Y 0.5721 0.0285 0.0066
6 Y 0.5721 0.5655 0.5435
7 Tm 0.2175 0.5469 0.6706
8 Tm 0.3008 0.3008 0.0000
9 Tm 0.3799 0.0497 0.3302
10 Tm 0.6040 0.6040 0.0000
11 Tm 0.7195 0.0497 0.6698
12 Tm 0.7980 0.2980 0.5000
13 Tm 0.8763 0.5469 0.3294

Properties
* ΔE_f: 273 meV/atom
* total magnetization: 0.00 μB/cell

12.
Compound: Mg2TlGe
Source: Alexandria via LeMat-Bulk
Functional: PBE-GGA
Structure: relaxed

Cell lengths 3.5635, 3.5635, 6.9845 Å; angles 90.00, 90.00, 90.00 degrees
Fractional coordinates of all 4 atoms:
1 Mg 0.0000 0.0000 0.2246
2 Mg 0.0000 0.0000 0.7754
3 Tl 0.5000 0.5000 0.5000
4 Ge 0.5000 0.5000 0.0000

Properties
* ΔE_f: -40 meV/atom
* total magnetization: 0.00 μB/cell